The following is a DFT calculation (PBE) of crystalline CaLaAs2Pt2 at its relaxed geometry.

Summary:
The value obtained for the density is 8.92 g cm⁻³. Its space-group type is P-3m1, No. 164. As for the calculated total energy: -35.37 eV per cell. The crystal system is trigonal. For the density of states at the Fermi level, the calculation gives 3.81 states/eV per cell. The calculation puts the formation energy from the elements at -113.6 kJ/mol of atoms. Its total magnetization is 0.00 Bohr magnetons per cell.

Cell: 4.3196 4.3196 8.2871 Å, 90.00 90.00 120.00°
Closest atoms and distances in Å follow each position.
Fractional coordinates of all 6 atoms:
Ca: 0.0000 0.0000 0.0000  6 Pt 3.20, 6 As 3.27
La: 0.0000 0.0000 0.5000  6 As 3.22, 6 Pt 3.29
As: 0.3333 0.6667 0.7451  3 Pt 2.50
As: 0.6667 0.3333 0.2549  3 Pt 2.50
Pt: 0.3333 0.6667 0.2418  3 As 2.50
Pt: 0.6667 0.3333 0.7582  3 As 2.50